NpSiSe3: optimized geometry, PBE.

Summary:
The calculation puts the total energy at -6.10 eV per atom.

CIF file:
```
data_NpSiSe3
_chemical_formula_sum 'Np2 Si2 Se6'
_cell_length_a 7.054
_cell_length_b 7.054
_cell_length_c 7.054
_cell_angle_alpha 134.02
_cell_angle_beta 98.45
_cell_angle_gamma 99.10
_symmetry_space_group_name_H-M 'P 1'
_symmetry_Int_Tables_number 1
loop_
_symmetry_equiv_pos_as_xyz
'x,y,z'
loop_
_atom_site_label
_atom_site_fract_x
_atom_site_fract_y
_atom_site_fract_z
Np1 0.307 0.057 0.250
Np2 0.693 0.943 0.750
Si1 0.000 0.000 0.500
Si2 0.000 0.500 0.000
Se1 0.239 0.489 0.750
Se2 0.288 0.000 0.788
Se3 0.288 0.500 0.288
Se4 0.712 0.000 0.212
Se5 0.712 0.500 0.712
Se6 0.761 0.511 0.250
```

Hg5P2I2: optimized geometry, PBE.

Summary:
The calculation puts the total energy at -1.64 eV per atom.

CIF file:
```
data_Hg5P2I2
_chemical_formula_sum 'Hg5 P2 I2'
_cell_length_a 8.958
_cell_length_b 8.958
_cell_length_c 8.090
_cell_angle_alpha 98.41
_cell_angle_beta 98.41
_cell_angle_gamma 29.18
_symmetry_space_group_name_H-M 'P 1'
_symmetry_Int_Tables_number 1
loop_
_symmetry_equiv_pos_as_xyz
'x,y,z'
loop_
_atom_site_label
_atom_site_fract_x
_atom_site_fract_y
_atom_site_fract_z
Hg1 0.000 0.000 0.000
Hg2 0.283 0.283 0.800
Hg3 0.379 0.379 0.238
Hg4 0.621 0.621 0.762
Hg5 0.717 0.717 0.200
P1 0.153 0.153 0.892
P2 0.847 0.847 0.108
I1 0.414 0.414 0.638
I2 0.586 0.586 0.362
```

SrCoPt2: optimized geometry, PBE.

Summary:
The calculation puts the energy of formation at 0.553 eV/f.u. The calculation puts the total energy at -5.08 eV per atom.

CIF file:
```
data_SrCoPt2
_chemical_formula_sum 'Sr1 Co1 Pt2'
_cell_length_a 4.714
_cell_length_b 4.714
_cell_length_c 4.714
_cell_angle_alpha 60.00
_cell_angle_beta 60.00
_cell_angle_gamma 60.00
_symmetry_space_group_name_H-M 'P 1'
_symmetry_Int_Tables_number 1
loop_
_symmetry_equiv_pos_as_xyz
'x,y,z'
loop_
_atom_site_label
_atom_site_fract_x
_atom_site_fract_y
_atom_site_fract_z
Sr1 0.000 0.000 0.000
Co1 0.750 0.750 0.750
Pt1 0.250 0.250 0.250
Pt2 0.500 0.500 0.500
```

ZnCo2MoC: optimized geometry, PBE.

Summary:
The calculation puts the energy of formation at 0.482 eV/f.u. The calculation puts the total energy at -7.01 eV per atom.

CIF file:
```
data_ZnCo2MoC
_chemical_formula_sum 'Zn1 Co2 Mo1 C1'
_cell_length_a 3.814
_cell_length_b 3.814
_cell_length_c 4.113
_cell_angle_alpha 90.00
_cell_angle_beta 90.00
_cell_angle_gamma 90.00
_symmetry_space_group_name_H-M 'P 1'
_symmetry_Int_Tables_number 1
loop_
_symmetry_equiv_pos_as_xyz
'x,y,z'
loop_
_atom_site_label
_atom_site_fract_x
_atom_site_fract_y
_atom_site_fract_z
Zn1 0.000 0.000 0.000
Co1 0.000 0.500 0.500
Co2 0.500 0.000 0.500
Mo1 0.500 0.500 0.000
C1 0.500 0.500 0.500
```

> What is the total energy in the second record?

-1.64 eV per atom